## Li2MgCu (PBE)

Data for a relaxed structure of Li2MgCu.

abc: 2.962 4.726 4.728
angles: 90.00 96.29 90.00
Atoms (fractional coordinates):
Li1 0.221 0.000 0.269
Li2 0.779 0.000 0.731
Mg1 0.500 0.500 0.000
Cu1 0.000 0.500 0.500

As for the density: 2.57 Mg/m³. The value obtained for the formation energy is 0.00 eV per atom. The calculation puts the volume at 66 Å³ per cell. The value obtained for the total magnetic moment is 0.000 μB/cell.